No. 1
Below is a relaxed Sn2GeAs2 crystal, with properties calculated at the PBE-GGA level.

a = 3.7786 Å, b = 3.7786 Å, c = 16.7855 Å
α = 90.00°, β = 90.00°, γ = 90.00°
With the nearest neighbours (Å) after each atom.
Space group I4/mmm (No. 139)
Asymmetric unit:
Sn 0.0000 0.0000 0.0970 (multiplicity 4)  4 Ge 3.13, 4 As 3.19, 1 Sn 3.26
Ge 0.0000 0.0000 0.5000 (multiplicity 2)  8 Sn 3.13
As 0.0000 0.5000 0.2500 (multiplicity 4)  4 As 2.67

Computed properties:
Density of states at the Fermi level in states/eV/f.u.: 2.330
Calculated formation energy in eV/atom: 0.214
Total DFT energy (no corrections) in eV per atom: -4.170
Energy relative to the lowest polymorph listed for this composition in eV per formula unit: 0.23

---

No. 2
Below is a relaxed SrCo3Ge3 crystal, with properties calculated at the PBE-GGA level.

a = 6.4729 Å, b = 6.4729 Å, c = 6.4729 Å
α = 90.00°, β = 90.00°, γ = 90.00°
With the nearest neighbours (Å) after each atom.
Space group Pm-3n (No. 223)
Asymmetric unit:
Sr 0.0000 0.0000 0.0000 (multiplicity 2)  12 Ge 3.62, 12 Co 3.62
Co 0.0000 0.2500 0.5000 (multiplicity 6)  4 Ge 2.29
Ge 0.0000 0.5000 0.2500 (multiplicity 6)  4 Co 2.29

Computed properties:
Density of states at the Fermi level in states/eV/f.u.: 7.038
Calculated formation energy in eV/atom: -0.055
Total DFT energy (no corrections) in eV per atom: -5.319
Energy relative to the lowest polymorph listed for this composition in eV per formula unit: 0.44